Entry 1:
# CuMoN2, relaxed, DFT GGA-PBE
data_CuMoN2
_chemical_formula_sum 'Cu4 Mo4 N8'
_space_group_name_H-M_alt 'F m -3 m'
_space_group_IT_number 225
_space_group_name_Hall '-F 4 2 3'
_cell_length_a 5.293
_cell_length_b 5.293
_cell_length_c 5.293
_cell_angle_alpha 90.00
_cell_angle_beta 90.00
_cell_angle_gamma 90.00
loop_
_atom_site_label
_atom_site_type_symbol
_atom_site_fract_x
_atom_site_fract_y
_atom_site_fract_z
_atom_site_occupancy
Cu1 Cu 0.000 0.000 0.000 1
Mo1 Mo 0.000 0.000 0.500 1
N1 N 0.250 0.250 0.250 1
# * uncorrected energy: -113.384 eV for the cell shown
# * E_form (uncorrected): 0.808 eV/atom
# * crystal system: cubic
# * polymorph energy (0 for the lowest one): 3.17 eV/f.u.

---

Entry 2:
# CuMoN2, relaxed, DFT GGA-PBE
data_CuMoN2
_chemical_formula_sum 'Cu4 Mo4 N8'
_space_group_name_H-M_alt 'I -4 2 d'
_space_group_IT_number 122
_space_group_name_Hall 'I -4 2bw'
_cell_length_a 4.588
_cell_length_b 4.588
_cell_length_c 9.262
_cell_angle_alpha 90.00
_cell_angle_beta 90.00
_cell_angle_gamma 90.00
loop_
_atom_site_label
_atom_site_type_symbol
_atom_site_fract_x
_atom_site_fract_y
_atom_site_fract_z
_atom_site_occupancy
Cu1 Cu 0.000 0.000 0.000 1
Mo1 Mo 0.000 0.000 0.500 1
N1 N 0.229 0.250 0.625 1
# * uncorrected energy: -126.058 eV for the cell shown
# * E_form (uncorrected): 0.016 eV/atom
# * crystal system: tetragonal
# * polymorph energy (0 for the lowest one): 0.00 eV/f.u.

---

Entry 3:
# Cu2MoN2, relaxed, DFT GGA-PBE
data_Cu2MoN2
_chemical_formula_sum 'Cu4 Mo2 N4'
_space_group_name_H-M_alt 'P 4/m b m'
_space_group_IT_number 127
_space_group_name_Hall '-P 4 2ab'
_cell_length_a 5.741
_cell_length_b 5.741
_cell_length_c 3.742
_cell_angle_alpha 90.00
_cell_angle_beta 90.00
_cell_angle_gamma 90.00
loop_
_atom_site_label
_atom_site_type_symbol
_atom_site_fract_x
_atom_site_fract_y
_atom_site_fract_z
_atom_site_occupancy
Cu1 Cu 0.246 0.254 0.000 1
Mo1 Mo 0.000 0.000 0.500 1
N1 N 0.247 0.253 0.500 1
# * uncorrected energy: -69.697 eV for the cell shown
# * E_form (uncorrected): 0.165 eV/atom
# * crystal system: tetragonal

---

Entry 4:
# CuMo2N2, relaxed, DFT GGA-PBE
data_CuMo2N2
_chemical_formula_sum 'Cu2 Mo4 N4'
_space_group_name_H-M_alt 'P 4/m b m'
_space_group_IT_number 127
_space_group_name_Hall '-P 4 2ab'
_cell_length_a 6.227
_cell_length_b 6.227
_cell_length_c 2.701
_cell_angle_alpha 90.00
_cell_angle_beta 90.00
_cell_angle_gamma 90.00
loop_
_atom_site_label
_atom_site_type_symbol
_atom_site_fract_x
_atom_site_fract_y
_atom_site_fract_z
_atom_site_occupancy
Cu1 Cu 0.000 0.000 0.000 1
Mo1 Mo 0.155 0.345 0.500 1
N1 N 0.140 0.640 0.000 1
# * uncorrected energy: -81.483 eV for the cell shown
# * E_form (uncorrected): 0.334 eV/atom
# * crystal system: tetragonal
# * polymorph energy (0 for the lowest one): 0.31 eV/f.u.

---

Entry 5:
# Cu3MoN, relaxed, DFT GGA-PBE
data_Cu3MoN
_chemical_formula_sum 'Cu3 Mo1 N1'
_space_group_name_H-M_alt 'P m -3 m'
_space_group_IT_number 221
_space_group_name_Hall '-P 4 2 3'
_cell_length_a 4.643
_cell_length_b 4.643
_cell_length_c 4.643
_cell_angle_alpha 90.00
_cell_angle_beta 90.00
_cell_angle_gamma 90.00
loop_
_atom_site_label
_atom_site_type_symbol
_atom_site_fract_x
_atom_site_fract_y
_atom_site_fract_z
_atom_site_occupancy
Cu1 Cu 0.000 0.000 0.500 1
Mo1 Mo 0.000 0.000 0.000 1
N1 N 0.500 0.500 0.500 1
# * uncorrected energy: -17.864 eV for the cell shown
# * E_form (uncorrected): 2.716 eV/atom
# * crystal system: cubic
# * polymorph energy (0 for the lowest one): 9.70 eV/f.u.

---

Entry 6:
# CuNiMo2N, relaxed, DFT GGA-PBE
data_CuNiMo2N
_chemical_formula_sum 'Cu1 Ni1 Mo2 N1'
_space_group_name_H-M_alt 'P 4/m m m'
_space_group_IT_number 123
_space_group_name_Hall '-P 4 2'
_cell_length_a 4.076
_cell_length_b 4.076
_cell_length_c 3.758
_cell_angle_alpha 90.00
_cell_angle_beta 90.00
_cell_angle_gamma 90.00
loop_
_atom_site_label
_atom_site_type_symbol
_atom_site_fract_x
_atom_site_fract_y
_atom_site_fract_z
_atom_site_occupancy
Cu1 Cu 0.000 0.000 0.000 1
Ni1 Ni 0.500 0.500 0.000 1
Mo1 Mo 0.000 0.500 0.500 1
N1 N 0.500 0.500 0.500 1
# * uncorrected energy: -39.872 eV for the cell shown
# * E_form (uncorrected): -0.001 eV/atom
# * crystal system: tetragonal

---

no.,total moment (μB/cell)
1,0.00
2,0.00
3,0.00
4,0.00
5,0.00
6,0.00